No. 1
This record from Alexandria describes a geometry-optimized HfSbH2F structure. The functional is PBE.

Cell: 3.5823 6.3836 3.5823 Å, 90.00 90.00 90.00°
Element x y z (fractional)
1 F 0.0000 0.5000 0.0000
2 H 0.5000 0.0000 0.0000
3 H 0.0000 0.0000 0.5000
4 Sb 0.0000 0.0000 0.0000
5 Hf 0.5000 0.5000 0.5000

Computed properties:
energy above the most stable polymorph in this dataset = 0.7670 eV/atom
space group = P4/mmm

No. 2
This record from Alexandria describes a geometry-optimized CaMg2Re structure. The functional is PBE.

Cell: 2.9073 2.9073 9.8076 Å, 90.00 90.00 90.00°
Element x y z (fractional)
1 Mg 0.0000 0.0000 0.4605
2 Mg 0.0000 0.0000 0.0395
3 Ca 0.5000 0.5000 0.7500
4 Re 0.5000 0.5000 0.2500

Computed properties:
energy above the most stable polymorph in this dataset = 0.0291 eV/atom
space group = P4/mmm

No. 3
This record from Alexandria describes a geometry-optimized Nd2HfMg structure. The functional is PBE.

Cell: 3.2627 3.2627 12.4591 Å, 82.48 82.48 60.00°
Element x y z (fractional)
1 Nd 0.0856 0.0856 0.7433
2 Nd 0.9144 0.9144 0.2567
3 Hf 0.0000 0.0000 0.0000
4 Mg 0.5000 0.5000 0.5000

Computed properties:
energy above the most stable polymorph in this dataset = 0.3141 eV/atom
space group = R-3m